(1)
Here is an optimized crystal structure of CrBi2IrW from Alexandria via LeMat-Bulk. Energies are from PBE-GGA.

Summary:
* calculated volume: 26.86 Å³/atom
* energy relative to the elements: 1.627 eV/atom

Unit cell a=5.361 b=5.361 c=4.673 alpha=90.00 beta=90.00 gamma=90.00
Positions (direct):
1 Cr 0.000 0.000 0.500
2 Bi 0.000 0.500 0.000
3 Bi 0.500 0.000 0.000
4 Ir 0.000 0.000 0.000
5 W 0.500 0.500 0.500



(2)
Here is an optimized crystal structure of KCr3Bi from Alexandria via LeMat-Bulk. Energies are from PBE-GGA.

Summary:
* excess energy over the best structure of this formula in the dataset: 890 meV/atom
* calculated volume: 30.41 Å³/atom
* energy relative to the elements: 2.040 eV/atom

Unit cell a=5.337 b=5.337 c=5.337 alpha=90.00 beta=90.00 gamma=90.00
Positions (direct):
1 Cr 0.000 0.500 0.000
2 Cr 0.500 0.000 0.000
3 Cr 0.000 0.000 0.500
4 K 0.000 0.000 0.000
5 Bi 0.500 0.500 0.500



(3)
Here is an optimized crystal structure of KCr3Bi from Alexandria via LeMat-Bulk. Energies are from PBE-GGA.

Summary:
* excess energy over the best structure of this formula in the dataset: 0 meV/atom
* calculated volume: 33.52 Å³/atom
* energy relative to the elements: 1.150 eV/atom

Unit cell a=5.514 b=5.514 c=5.514 alpha=90.00 beta=90.00 gamma=90.00
Positions (direct):
1 Cr 0.500 0.000 0.000
2 Cr 0.000 0.500 0.000
3 Cr 0.000 0.000 0.500
4 K 0.500 0.500 0.500
5 Bi 0.000 0.000 0.000